# CaZn3Ag3 | the Alexandria database | GGA-PBE | optimized geometry
data_CaZn3Ag3
_cell_length_a 7.397
_cell_length_b 7.397
_cell_length_c 7.397
_cell_angle_alpha 58.21
_cell_angle_beta 58.21
_cell_angle_gamma 58.21
_space_group_name_H-M_alt 'P 1'
_space_group_IT_number 1
loop_
_space_group_symop_operation_xyz
'x,y,z'
loop_
_atom_site_label
_atom_site_fract_x
_atom_site_fract_y
_atom_site_fract_z
Ca1 0.163 0.163 0.163
Ca2 0.837 0.837 0.837
Zn1 0.041 0.220 0.616
Zn2 0.220 0.616 0.041
Zn3 0.384 0.959 0.780
Zn4 0.616 0.041 0.220
Zn5 0.780 0.384 0.959
Zn6 0.959 0.780 0.384
Ag1 0.200 0.436 0.664
Ag2 0.336 0.800 0.564
Ag3 0.436 0.664 0.200
Ag4 0.564 0.336 0.800
Ag5 0.664 0.200 0.436
Ag6 0.800 0.564 0.336
# **Energy relative to the elements**: -0.08 eV per atom
# **Magnetic moment**: 0.000 μB/atom
# **Energy**: -2.14 eV per atom
# **Symmetry**: R-3 (148)